The following is a SCAN calculation of a PBEsol-optimized structure of LiCrAs3, from the Alexandria database.

formation energy = 66 kJ/mol of formula units
DFT total energy = -16.133 eV per atom
DOS(E_F) = 0.490 states/eV/atom
symmetry = Pm-3m (221)

Lattice parameters (Å, degrees): 4.641 4.641 4.641 90.00 90.00 90.00
Sites, in units of the cell vectors:
Li1 0.000 0.000 0.000
Cr1 0.500 0.500 0.500
As1 0.000 0.500 0.500
As2 0.500 0.000 0.500
As3 0.500 0.500 0.000



The following is a SCAN calculation of a PBEsol-optimized structure of TbAu3, from the Alexandria database.

formation energy = -334 kJ/mol of formula units
DFT total energy = -64.423 eV per atom
DOS(E_F) = 0.319 states/eV/atom
symmetry = Pmmn (59)

Lattice parameters (Å, degrees): 4.976 6.055 5.082 90.00 90.00 90.00
Sites, in units of the cell vectors:
Tb1 0.250 0.250 0.156
Tb2 0.750 0.750 0.844
Au1 0.250 0.507 0.661
Au2 0.250 0.750 0.169
Au3 0.250 0.993 0.661
Au4 0.750 0.007 0.339
Au5 0.750 0.250 0.831
Au6 0.750 0.493 0.339



The following is a SCAN calculation of a PBEsol-optimized structure of BeNi2, from the Alexandria database.

formation energy = -78 kJ/mol of formula units
DFT total energy = -12.501 eV per atom
DOS(E_F) = 0.756 states/eV/atom
symmetry = I4/mcm (140)

Lattice parameters (Å, degrees): 4.184 4.184 4.184 104.83 104.83 119.22
Sites, in units of the cell vectors:
Be1 0.250 0.250 0.000
Be2 0.750 0.750 0.000
Ni1 0.159 0.659 0.819
Ni2 0.341 0.159 0.500
Ni3 0.659 0.841 0.500
Ni4 0.841 0.341 0.181



The following is a SCAN calculation of a PBEsol-optimized structure of Ce3Tl, from the Alexandria database.

formation energy = -114 kJ/mol of formula units
DFT total energy = -51.808 eV per atom
DOS(E_F) = 1.680 states/eV/atom
symmetry = Pm-3m (221)

Lattice parameters (Å, degrees): 4.700 4.700 4.700 90.00 90.00 90.00
Sites, in units of the cell vectors:
Ce1 0.000 0.000 0.500
Ce2 0.000 0.500 0.000
Ce3 0.500 0.000 0.000
Tl1 0.500 0.500 0.500